BaTb2AgSe4: relaxed, GGA-PBE.

* uncorrected energy: -5.0600 eV/atom
* space-group type: No. 63
* formation energy from raw total energies: -1.56 eV per atom

extended XYZ file:
```
16
Lattice="-3.296 -0.381 2.698 1.967 -6.819 -1.950 9.239 -0.541 11.209" Properties=species:S:1:pos:R:3 pbc="T T T"
Se 4.619 -0.270 5.605
Ag 2.404 -2.211 2.624
Ba 7.011 -2.212 8.252
Ag 5.506 -5.530 9.333
Se 3.790 -3.953 4.071
Tb 2.496 -2.165 6.131
Se 1.170 -3.800 0.892
Se 6.740 -3.941 11.065
Se 4.120 -3.788 7.886
Tb 8.924 -5.782 10.083
Se 7.220 -6.802 7.858
Se 0.000 0.000 0.000
Se 0.690 -0.939 4.099
Tb 5.414 -5.576 5.826
Tb -1.014 -1.959 1.873
Ba 0.899 -5.529 3.705
```